[1]
DFT (PBE) results for a geometry-optimized Li2BeInO4 structure.

total energy	-43.97	eV per cell
symmetry	I-42m (121)
magnetization	1.04	Bohr magnetons per cell

Unit cell a=5.4381 b=5.4381 c=5.4381 alpha=132.17 beta=132.17 gamma=69.96
With the nearest neighbours (Å) after each atom.
Atoms (fractional coordinates):
Li 0.2500 0.7500 0.5000  4 O 1.99
Li 0.7500 0.2500 0.5000  4 O 1.99
Be 0.0000 0.0000 0.0000  4 O 1.66
In 0.5000 0.5000 0.0000  4 O 2.08
O 0.0958 0.0958 0.4197  1 Be 1.66
O 0.3239 0.9042 0.0000  1 Be 1.66
O 0.6761 0.6761 0.5803  1 Be 1.66
O 0.9042 0.3239 0.0000  1 Be 1.66

[2]
DFT (PBE) results for a geometry-optimized LiBeInO3 structure.

total energy	-68.77	eV per cell
symmetry	Cmcm (63)
magnetization	0.00	Bohr magnetons per cell

Unit cell a=4.9479 b=4.9479 c=9.3651 alpha=90.00 beta=90.00 gamma=144.46
With the nearest neighbours (Å) after each atom.
Atoms (fractional coordinates):
Li 0.2473 0.7527 0.7500  6 O 2.24-2.35
Li 0.7527 0.2473 0.2500  6 O 2.24-2.35
Be 0.4814 0.5186 0.2500  4 O 1.62-1.76
Be 0.5186 0.4814 0.7500  4 O 1.62-1.76
In 0.0000 0.0000 0.0000  4 O 2.13
In 0.0000 0.0000 0.5000  4 O 2.13
O 0.0776 0.9224 0.2500  2 Be 1.76
O 0.3824 0.6176 0.1082  1 Be 1.62
O 0.3824 0.6176 0.3918  1 Be 1.62
O 0.6176 0.3824 0.6082  1 Be 1.62
O 0.6176 0.3824 0.8918  1 Be 1.62
O 0.9224 0.0776 0.7500  2 Be 1.76

[3]
DFT (PBE) results for a geometry-optimized Li2BeInPb structure.

symmetry	P4/mmm (123)
magnetization	0.00	Bohr magnetons per cell
formation enthalpy at 0 K	0.35	eV per atom

Unit cell a=5.0907 b=5.0907 c=4.5502 alpha=90.00 beta=90.00 gamma=90.00
With the nearest neighbours (Å) after each atom.
Atoms (fractional coordinates):
Li 0.0000 0.5000 0.0000  2 In 2.55
Li 0.5000 0.0000 0.0000  2 In 2.55
Be 0.0000 0.0000 0.5000  2 In 2.28
In 0.0000 0.0000 0.0000  2 Be 2.28, 4 Li 2.55
Pb 0.5000 0.5000 0.5000  8 Li 3.41, 4 Be 3.60

[4]
DFT (PBE) results for a geometry-optimized Li2Be2InPd5 structure.

symmetry	P4/mbm (127)
magnetization	0.00	Bohr magnetons per cell
formation enthalpy at 0 K	-0.50	eV per atom

Unit cell a=9.6071 b=9.6071 c=3.2225 alpha=90.00 beta=90.00 gamma=90.00
With the nearest neighbours (Å) after each atom.
Atoms (fractional coordinates):
Li 0.1731 0.3269 0.0000  3 Be 2.77-2.88, 10 Pd 2.85-3.06
Li 0.3269 0.8269 0.0000  3 Be 2.77-2.88, 10 Pd 2.85-3.06
Li 0.6731 0.1731 0.0000  3 Be 2.77-2.88, 10 Pd 2.85-3.06
Li 0.8269 0.6731 0.0000  3 Be 2.77-2.88, 10 Pd 2.85-3.06
Be 0.1230 0.6230 0.0000  6 Pd 2.28-2.32
Be 0.3770 0.1230 0.0000  6 Pd 2.28-2.32
Be 0.6230 0.8770 0.0000  6 Pd 2.28-2.32
Be 0.8770 0.3770 0.0000  6 Pd 2.28-2.32
In 0.0000 0.0000 0.0000  8 Pd 2.73
In 0.5000 0.5000 0.0000  8 Pd 2.73
Pd 0.0000 0.5000 0.5000  4 Be 2.32
Pd 0.0736 0.7833 0.5000  2 Be 2.28
Pd 0.2167 0.0736 0.5000  2 Be 2.28
Pd 0.2833 0.5736 0.5000  2 Be 2.28
Pd 0.4264 0.2833 0.5000  2 Be 2.28
Pd 0.5000 0.0000 0.5000  4 Be 2.32
Pd 0.5736 0.7167 0.5000  2 Be 2.28
Pd 0.7167 0.4264 0.5000  2 Be 2.28
Pd 0.7833 0.9264 0.5000  2 Be 2.28
Pd 0.9264 0.2167 0.5000  2 Be 2.28